Computed, not measured: a geometry-optimized ThVBrO4 structure at the GGA+U level of DFT.

* total moment: 0.0 μB per formula unit
* DOS(E_F): 0.00 states/eV/f.u.
* raw total energy: -7.73 eV per atom
* V: 18.41 A^3/atom

Unit cell a=6.425 b=6.425 c=6.940 alpha=77.30 beta=77.30 gamma=68.98
Sites, in units of the cell vectors:
V 0.364 0.364 0.268
V 0.636 0.636 0.732
O 0.875 0.509 0.857
O 0.469 0.469 0.779
O 0.491 0.125 0.143
O 0.509 0.875 0.857
O 0.292 0.292 0.522
O 0.708 0.708 0.478
O 0.531 0.531 0.221
O 0.125 0.491 0.143
Br 0.984 0.984 0.756
Br 0.016 0.016 0.244
Th 0.758 0.758 0.133
Th 0.242 0.242 0.867